The following is a DFT calculation (PBE) of crystalline Nd2Ga3HgPt4 at its relaxed geometry.

Properties
M_tot   0.00 μB per cell
DFT formation energy   -0.84 eV per atom
Density of states at the Fermi level   0.51 states/eV per atom

Cell: 4.1437 4.1437 11.7148 Å, 90.00 90.00 90.00°
Last column: nearest neighbours and their distance in Å.
Positions (direct):
1 Nd 0.0000 0.5000 0.2479  4 Pt 3.11, 4 Ga 3.26
2 Nd 0.5000 0.0000 0.7521  4 Pt 3.11, 4 Ga 3.26
3 Ga 0.0000 0.5000 0.8739  5 Pt 2.47-2.54
4 Ga 0.5000 0.0000 0.1261  5 Pt 2.47-2.54
5 Ga 0.5000 0.5000 0.5000  4 Pt 2.82, 4 Hg 2.93
6 Hg 0.0000 0.0000 0.5000  4 Pt 2.82, 4 Ga 2.93
7 Pt 0.0000 0.0000 0.0000  4 Ga 2.54
8 Pt 0.0000 0.5000 0.6633  1 Ga 2.47
9 Pt 0.5000 0.0000 0.3367  1 Ga 2.47
10 Pt 0.5000 0.5000 0.0000  4 Ga 2.54